No. 1
Material: YAsSe2
Method: DFT, meta-GGA SCAN
State: PBEsol geometry

Lattice parameters (Å, degrees): 3.6395 3.8314 6.3318 103.43 90.00 90.00
With the nearest neighbours (Å) after each atom.
Atoms (fractional coordinates):
As (0.5000, 0.5000, 0.0000)  4 Se 2.64
Se (0.0000, 0.1180, 0.7440)  2 As 2.64
Y (0.5000, 0.5000, 0.5000)  8 Se 2.98-3.10, 2 As 3.17
Se (0.0000, 0.8820, 0.2560)  2 As 2.64

Summary:
As for the space group: P2/m, No. 10. The raw total energy is -92.09 eV/f.u. The uncorrected formation energy comes out at -3.90 eV per formula unit. For the total magnetization, the calculation gives 0.0000 μB/atom.



No. 2
Material: YAsSe2
Method: DFT, meta-GGA SCAN
State: PBEsol geometry

Lattice parameters (Å, degrees): 3.9972 3.9972 5.9416 109.66 109.66 90.00
With the nearest neighbours (Å) after each atom.
Atoms (fractional coordinates):
As (0.2500, 0.7500, 0.5000)  4 Se 2.83
Se (0.0000, 0.0000, 0.0000)  4 Y 2.83
Y (0.5000, 0.5000, 0.0000)  4 Se 2.83
Se (0.7500, 0.2500, 0.5000)  4 As 2.83

Summary:
As for the space group: I-4m2, No. 119. The raw total energy is -91.74 eV/f.u. The uncorrected formation energy comes out at -3.55 eV per formula unit. For the total magnetization, the calculation gives 0.0000 μB/atom.



No. 3
Material: YAsSe2
Method: DFT, meta-GGA SCAN
State: PBEsol geometry

Lattice parameters (Å, degrees): 3.7354 5.1882 5.0453 93.69 90.00 111.10
With the nearest neighbours (Å) after each atom.
Atoms (fractional coordinates):
As (0.5000, 0.0000, 0.0000)  2 Se 2.52
Se (0.2963, 0.5926, 0.2853)  1 As 2.52
Y (0.0000, 0.0000, 0.5000)  6 Se 2.87-3.14, 4 As 3.14
Se (0.7037, 0.4074, 0.7147)  1 As 2.52

Summary:
As for the space group: C2/m, No. 12. The raw total energy is -91.57 eV/f.u. The uncorrected formation energy comes out at -3.38 eV per formula unit. For the total magnetization, the calculation gives 0.0000 μB/atom.



No. 4
Material: Zn4AsSe
Method: DFT, meta-GGA SCAN
State: PBEsol geometry

Lattice parameters (Å, degrees): 5.1872 5.1872 5.1872 60.00 60.00 60.00
With the nearest neighbours (Å) after each atom.
Atoms (fractional coordinates):
Zn (0.3751, 0.8746, 0.3751)  6 Zn 2.59-2.60
As (0.7500, 0.7500, 0.7500)  12 Zn 3.04, 4 Se 3.18
Zn (0.8746, 0.3751, 0.3751)  6 Zn 2.59-2.60
Zn (0.3751, 0.3751, 0.3751)  6 Zn 2.59-2.60
Se (0.0000, 0.0000, 0.0000)  12 Zn 3.04, 4 As 3.18
Zn (0.3751, 0.3751, 0.8746)  6 Zn 2.59-2.60

Summary:
As for the space group: F-43m, No. 216. The raw total energy is -92.65 eV/f.u. The uncorrected formation energy comes out at 1.68 eV per formula unit. For the total magnetization, the calculation gives 0.0000 μB/atom.



No. 5
Material: ZnAsSe2
Method: DFT, meta-GGA SCAN
State: PBEsol geometry

Lattice parameters (Å, degrees): 3.3097 4.7025 4.7025 90.00 90.00 90.00
With the nearest neighbours (Å) after each atom.
Atoms (fractional coordinates):
Zn (0.5000, 0.5000, 0.5000)  8 Se 2.88
As (0.5000, 0.0000, 0.0000)  8 Se 2.88
Se (0.0000, 0.0000, 0.5000)  4 Zn 2.88, 4 As 2.88
Se (0.0000, 0.5000, 0.0000)  4 As 2.88, 4 Zn 2.88

Summary:
As for the space group: P4/mmm, No. 123. The raw total energy is -72.63 eV/f.u. The uncorrected formation energy comes out at 1.23 eV per formula unit. For the total magnetization, the calculation gives 0.0000 μB/atom.



No. 6
Material: ZnAsSe3
Method: DFT, meta-GGA SCAN
State: PBEsol geometry

Lattice parameters (Å, degrees): 4.9468 4.9468 4.9468 90.00 90.00 90.00
With the nearest neighbours (Å) after each atom.
Atoms (fractional coordinates):
As (0.0000, 0.0000, 0.0000)  6 Se 2.47
Se (0.0000, 0.5000, 0.0000)  2 As 2.47
Zn (0.5000, 0.5000, 0.5000)  12 Se 3.50
Se (0.0000, 0.0000, 0.5000)  2 As 2.47
Se (0.5000, 0.0000, 0.0000)  2 As 2.47

Summary:
As for the space group: Pm-3m, No. 221. The raw total energy is -91.24 eV/f.u. The uncorrected formation energy comes out at 2.70 eV per formula unit. For the total magnetization, the calculation gives 0.0000 μB/atom.



No. 7
Material: ZrZnAsSe2
Method: DFT, meta-GGA SCAN
State: PBEsol geometry

Lattice parameters (Å, degrees): 4.6799 4.7589 4.7589 90.00 90.00 90.00
With the nearest neighbours (Å) after each atom.
Atoms (fractional coordinates):
Se (0.0000, 0.0000, 0.5000)  2 Zn 2.38
Se (0.0000, 0.5000, 0.0000)  2 Zn 2.38
As (0.5000, 0.0000, 0.0000)  2 Zn 2.34
Zn (0.0000, 0.0000, 0.0000)  2 As 2.34, 4 Se 2.38
Zr (0.5000, 0.5000, 0.5000)  8 Se 3.34, 4 As 3.37

Summary:
As for the space group: P4/mmm, No. 123. The raw total energy is -103.42 eV/f.u. The uncorrected formation energy comes out at 1.14 eV per formula unit. For the total magnetization, the calculation gives 0.0001 μB/atom.



No. 8
Material: ZrAsSe3
Method: DFT, meta-GGA SCAN
State: PBEsol geometry

Lattice parameters (Å, degrees): 4.8656 4.8656 4.8656 90.00 90.00 90.00
With the nearest neighbours (Å) after each atom.
Atoms (fractional coordinates):
Se (0.0000, 0.5000, 0.0000)  2 As 2.43
Se (0.0000, 0.0000, 0.5000)  2 As 2.43
Se (0.5000, 0.0000, 0.0000)  2 As 2.43
As (0.0000, 0.0000, 0.0000)  6 Se 2.43
Zr (0.5000, 0.5000, 0.5000)  12 Se 3.44

Summary:
As for the space group: Pm-3m, No. 221. The raw total energy is -110.33 eV/f.u. The uncorrected formation energy comes out at 0.79 eV per formula unit. For the total magnetization, the calculation gives 0.2055 μB/atom.



No. 9
Material: Zr3AsSe
Method: DFT, meta-GGA SCAN
State: PBEsol geometry

Lattice parameters (Å, degrees): 4.8982 4.8982 4.8982 90.00 90.00 90.00
With the nearest neighbours (Å) after each atom.
Atoms (fractional coordinates):
Zr (0.0000, 0.0000, 0.5000)  2 Se 2.45
Zr (0.5000, 0.0000, 0.0000)  2 Se 2.45
As (0.5000, 0.5000, 0.5000)  12 Zr 3.46
Zr (0.0000, 0.5000, 0.0000)  2 Se 2.45
Se (0.0000, 0.0000, 0.0000)  6 Zr 2.45

Summary:
As for the space group: Pm-3m, No. 221. The raw total energy is -132.28 eV/f.u. The uncorrected formation energy comes out at 0.09 eV per formula unit. For the total magnetization, the calculation gives 0.0000 μB/atom.



No. 10
Material: ZrAsSe2
Method: DFT, meta-GGA SCAN
State: PBEsol geometry

Lattice parameters (Å, degrees): 3.3531 3.3531 6.7284 90.00 90.00 90.00
With the nearest neighbours (Å) after each atom.
Atoms (fractional coordinates):
Zr (0.5000, 0.5000, 0.0000)  8 Se 2.81
As (0.5000, 0.5000, 0.5000)  8 Se 3.02, 4 As 3.35, 2 Zr 3.36
Se (0.0000, 0.0000, 0.7769)  4 Zr 2.81, 1 Se 3.00, 4 As 3.02
Se (0.0000, 0.0000, 0.2231)  4 Zr 2.81, 1 Se 3.00, 4 As 3.02

Summary:
As for the space group: P4/mmm, No. 123. The raw total energy is -93.41 eV/f.u. The uncorrected formation energy comes out at -2.36 eV per formula unit. For the total magnetization, the calculation gives 0.0000 μB/atom.



No. 11
Material: ZrAsSe2
Method: DFT, meta-GGA SCAN
State: PBEsol geometry

Lattice parameters (Å, degrees): 3.5498 4.6940 5.1148 90.00 110.31 90.00
With the nearest neighbours (Å) after each atom.
Atoms (fractional coordinates):
Se (0.4397, 0.5000, 0.8794)  3 As 2.66-2.78, 2 Zr 2.69
Se (0.0220, 0.0000, 0.0440)  3 Zr 2.69-2.76
As (0.7172, 0.5000, 0.4345)  3 Se 2.66-2.78
Zr (0.3023, 0.0000, 0.6045)  5 Se 2.69-2.76

Summary:
As for the space group: Amm2, No. 38. The raw total energy is -93.56 eV/f.u. The uncorrected formation energy comes out at -2.51 eV per formula unit. For the total magnetization, the calculation gives 0.0000 μB/atom.



No. 12
Material: ZrAsSe2
Method: DFT, meta-GGA SCAN
State: PBEsol geometry

Lattice parameters (Å, degrees): 3.5010 5.4220 5.0851 97.22 110.14 90.00
With the nearest neighbours (Å) after each atom.
Atoms (fractional coordinates):
Zr (0.5218, 0.4179, 0.0436)  4 Se 2.70-2.72, 3 As 2.73-2.75
Se (0.1904, 0.7052, 0.3809)  2 Zr 2.72, 1 Se 2.81, 2 As 2.94
Se (0.9875, 0.0366, 0.9751)  1 As 2.59, 2 Zr 2.70, 1 Se 2.81
As (0.8002, 0.3404, 0.6005)  1 Se 2.59, 3 Zr 2.73-2.75

Summary:
As for the space group: Cm, No. 8. The raw total energy is -93.98 eV/f.u. The uncorrected formation energy comes out at -2.94 eV per formula unit. For the total magnetization, the calculation gives 0.0000 μB/atom.



No. 13
Material: Si3As
Method: DFT, meta-GGA SCAN
State: PBEsol geometry

Lattice parameters (Å, degrees): 2.7574 2.7574 9.4027 90.00 90.00 120.00
With the nearest neighbours (Å) after each atom.
Atoms (fractional coordinates):
Si (0.3333, 0.6667, 0.2684)  9 Si 2.70-2.76, 3 As 2.98
Si (0.3333, 0.6667, 0.7316)  9 Si 2.70-2.76, 3 As 2.98
Si (0.0000, 0.0000, 0.5000)  12 Si 2.70-2.76
As (0.0000, 0.0000, 0.0000)  6 As 2.76, 6 Si 2.98

Summary:
As for the space group: P-6m2, No. 187. The raw total energy is -47.57 eV/f.u. The uncorrected formation energy comes out at 2.67 eV per formula unit. For the total magnetization, the calculation gives 0.0000 μB/atom. The polymorph energy (0 for the lowest one) comes out at 0 meV per atom.